Material: CoIrN2F
Method: DFT, GGA+U
State: optimized geometry

Properties
**Crystal system**: tetragonal
**Distance to the lowest polymorph of the same formula**: 2.48 eV/f.u.
**Space-group type**: P4/mmm (123)
**Size of the total moment**: 0.089 μB per atom

Unit cell a=3.7674 b=3.7674 c=3.5719 alpha=90.00 beta=90.00 gamma=90.00
Each line ends with the local moment (μB).
Atoms (fractional coordinates):
Ir: 0.5000 0.5000 0.5000  -0.50
F: 0.0000 0.0000 0.5000  -0.04
N: 0.0000 0.5000 0.0000  0.02
N: 0.5000 0.0000 0.0000  0.02
Co: 0.0000 0.0000 0.0000  0.92